Entry from the Alexandria database: a geometry-optimized Ca2NpPaO8 structure (GGA-PBE).

The space group is P2/m (No. 10) and the conventional cell measures 3.903, 7.423 and 5.498 Å, with angles of 90.00, 96.16 and 90.00 degrees. The distinct sites, in fractional coordinates, are Ca at (0.000, 0.250, 0.000), Np at (0.500, 0.000, 0.500), Pa at (0.500, 0.500, 0.500), O at (0.040, 0.500, 0.267), O at (0.069, 0.000, 0.280) and O at (0.448, 0.232, 0.721).

For the spin magnetization, the calculation gives 0.0000 μB per atom. The energy relative to the elements, uncorrected comes out at -70.96 kcal/mol of atoms. For the raw total energy, the calculation gives -8.59 eV per atom. Its density is 7.1 g/cm³.